Density functional theory data (PBE) for crystalline NdHoCd4 at its relaxed geometry.

Structure (POSCAR):
```
NdHoCd4
1.0
-0.915 1.920 2.653
-4.813 -0.643 -1.194
-0.298 -7.066 5.008
Cd Nd Ho
4 1 1
direct
0.497 0.000 0.670 Cd
0.503 0.000 0.330 Cd
0.497 0.500 0.163 Cd
0.503 0.500 0.837 Cd
0.000 0.500 0.500 Nd
0.000 0.000 0.000 Ho
```

Summary:
Energy of formation = -0.334 eV per atom